Compound: PmSmThSc
Source: Alexandria via LeMat-Bulk
Functional: PBE-GGA
Structure: optimized geometry

a b c (Å): 7.931 7.931 7.931
angles (deg): 90.00 90.00 90.00
Space group F-43m (No. 216)
Unique sites:
Pm 0.000 0.000 0.000 [4 per cell]
Sm 0.250 0.250 0.250 [4 per cell]
Th 0.250 0.250 0.750 [4 per cell]
Sc 0.000 0.000 0.500 [4 per cell]

## Properties
Crystal system: cubic
Theoretical density, g/cm³: 7.6
Raw total energy, eV per atom: -5.65
ΔE to the lowest computed polymorph, meV/atom: 117
E_form, eV/atom: 0.154
Magnetization, Bohr magnetons per cell: 0.00